A plane-wave DFT calculation with PBE-GGA was carried out for ZnReNi2 after structural relaxation.

Formation energy from the elements (eV/f.u.): 0.1
Volume (Å³ per cell): 50.6
Spin magnetization (μB/f.u.): 0.027

a = 2.632 Å, b = 2.632 Å, c = 7.297 Å
α = 90.00°, β = 90.00°, γ = 90.00°
Space group P4mm (No. 99)
One atom of each set of equivalent atoms:
1 Zn 0.000 0.000 0.000 (multiplicity 1)
2 Re 0.500 0.500 0.712 (multiplicity 1)
3 Ni 0.000 0.000 0.469 (multiplicity 1)
4 Ni 0.500 0.500 0.238 (multiplicity 1)